VASP calculation (GGA-PBE) on a relaxed structure of Rb2YPb2.

Lattice parameters (Å, degrees): 6.204 6.204 7.025 63.80 63.80 90.00
Element x y z (fractional)
Y  0.000  0.000  0.000
Rb  0.363  0.363  0.275
Pb  0.250  0.750  0.500
Rb  0.637  0.637  0.725
Pb  0.750  0.250  0.500

Computed properties:
Fermi-level density of states in states/eV per atom: 0.83
Space group: I4/mmm, No. 139
Energy above the most stable polymorph in this dataset in eV per atom: 0.476
Mass density in g/cm³: 5.30
Raw total energy in eV for the cell shown: -13.33
Energy of formation from the pure elements in meV per atom: 498

VASP calculation (GGA-PBE) on a relaxed structure of RbY3Pb.

Lattice parameters (Å, degrees): 6.006 6.006 6.006 90.00 90.00 90.00
Element x y z (fractional)
Y  0.000  0.500  0.000
Pb  0.000  0.000  0.000
Rb  0.500  0.500  0.500
Y  0.000  0.000  0.500
Y  0.500  0.000  0.000

Computed properties:
Fermi-level density of states in states/eV per atom: 2.31
Space group: Pm-3m, No. 221
Energy above the most stable polymorph in this dataset in eV per atom: 0.000
Mass density in g/cm³: 4.29
Raw total energy in eV for the cell shown: -22.06
Energy of formation from the pure elements in meV per atom: 403

VASP calculation (GGA-PBE) on a relaxed structure of Rb2YPb2.

Lattice parameters (Å, degrees): 10.713 10.713 3.399 90.00 90.00 90.00
Element x y z (fractional)
Pb  0.818  0.318  0.500
Rb  0.116  0.384  0.000
Y  0.000  0.000  0.000
Rb  0.884  0.616  0.000
Rb  0.384  0.884  0.000
Pb  0.318  0.182  0.500
Rb  0.616  0.116  0.000
Y  0.500  0.500  0.000
Pb  0.682  0.818  0.500
Pb  0.182  0.682  0.500

Computed properties:
Fermi-level density of states in states/eV per atom: 0.88
Space group: P4/mbm, No. 127
Energy above the most stable polymorph in this dataset in eV per atom: 0.260
Mass density in g/cm³: 5.74
Raw total energy in eV for the cell shown: -28.82
Energy of formation from the pure elements in meV per atom: 281

VASP calculation (GGA-PBE) on a relaxed structure of RbY2Pb2.

Lattice parameters (Å, degrees): 9.590 9.590 3.520 90.00 90.00 90.00
Last column: magnetic moment on the atom in μB.
Element x y z (fractional)
Y  0.130  0.370  0.000  0.12
Rb  0.500  0.500  0.000  0.00
Pb  0.665  0.835  0.500  -0.01
Pb  0.335  0.165  0.500  -0.01
Pb  0.165  0.665  0.500  -0.01
Y  0.370  0.870  0.000  0.13
Pb  0.835  0.335  0.500  -0.01
Y  0.630  0.130  0.000  0.13
Rb  0.000  0.000  0.000  0.00
Y  0.870  0.630  0.000  0.12

Computed properties:
Fermi-level density of states in states/eV per atom: 0.59
Space group: P4/mbm, No. 127
Energy above the most stable polymorph in this dataset in eV per atom: 0.000
Mass density in g/cm³: 6.95
Raw total energy in eV for the cell shown: -45.74
Energy of formation from the pure elements in meV per atom: -312